[1]
VASP calculation (PBE-GGA) on a geometry-optimized NpNi3 structure.

Its crystal system is cubic.

The structure in CIF format:
```
data_NpNi3
_space_group_name_H-M_alt 'P m -3 m'
_space_group_IT_number 221
_space_group_name_Hall '-P 4 2 3'
_cell_length_a 3.8451
_cell_length_b 3.8451
_cell_length_c 3.8451
_cell_angle_alpha 90.00
_cell_angle_beta 90.00
_cell_angle_gamma 90.00
loop_
_atom_site_label
_atom_site_type_symbol
_atom_site_fract_x
_atom_site_fract_y
_atom_site_fract_z
Np1 Np 0.0000 0.0000 0.0000
Ni1 Ni 0.0000 0.5000 0.5000
```

---

[2]
VASP calculation (PBE-GGA) on a geometry-optimized Ba2LaW structure.

The value obtained for the relative energy among the computed polymorphs is 1.63 eV per formula unit. Its crystal system is monoclinic.

The structure in CIF format:
```
data_Ba2LaW
_space_group_name_H-M_alt 'P 1 2/m 1'
_space_group_IT_number 10
_space_group_name_Hall '-P 2y'
_cell_length_a 3.7950
_cell_length_b 5.6012
_cell_length_c 6.5575
_cell_angle_alpha 90.00
_cell_angle_beta 103.70
_cell_angle_gamma 90.00
loop_
_atom_site_label
_atom_site_type_symbol
_atom_site_fract_x
_atom_site_fract_y
_atom_site_fract_z
Ba1 Ba 0.1204 0.0000 0.2726
La1 La 0.5000 0.5000 0.0000
W1 W 0.5000 0.5000 0.5000
```

---

The records above yield energy of formation from the pure elements values of 0.04; 4.57 eV/f.u., respectively.
The records above yield energy values of -7.5609; -4.2898 eV per atom, respectively.